Entry 1:
A plane-wave DFT calculation with PBE was carried out for LiLaErCr after structural relaxation.

Results
Its total magnetization is 12.18 Bohr magnetons per cell. The space-group type is No. 216. The value obtained for the formation energy is 0.839 eV/f.u.

Lattice parameters (Å, degrees): 7.3377 7.3377 7.3377 90.00 90.00 90.00
Fractional positions:
Li1 0.0000 0.0000 0.0000
Li2 0.0000 0.5000 0.5000
Li3 0.5000 0.0000 0.5000
Li4 0.5000 0.5000 0.0000
La1 0.2500 0.2500 0.2500
La2 0.2500 0.7500 0.7500
La3 0.7500 0.2500 0.7500
La4 0.7500 0.7500 0.2500
Er1 0.2500 0.2500 0.7500
Er2 0.2500 0.7500 0.2500
Er3 0.7500 0.2500 0.2500
Er4 0.7500 0.7500 0.7500
Cr1 0.0000 0.0000 0.5000
Cr2 0.0000 0.5000 0.0000
Cr3 0.5000 0.0000 0.0000
Cr4 0.5000 0.5000 0.5000



Entry 2:
A plane-wave DFT calculation with PBE was carried out for Pr3Dy2Y6Th after structural relaxation.

Results
Its total magnetization is 0.00 Bohr magnetons per cell. The space-group type is No. 12. The value obtained for the formation energy is 0.230 eV/f.u.

Lattice parameters (Å, degrees): 6.2506 6.2506 11.8942 95.03 95.03 119.99
Fractional positions:
Pr1 0.0000 0.0000 0.0000
Pr2 0.3329 0.6671 0.0000
Pr3 0.6671 0.3329 0.0000
Dy1 0.1668 0.8332 0.5000
Dy2 0.8332 0.1668 0.5000
Y1 0.0880 0.4178 0.2545
Y2 0.2523 0.2523 0.7455
Y3 0.4178 0.0880 0.2545
Y4 0.5822 0.9120 0.7455
Y5 0.7477 0.7477 0.2545
Y6 0.9120 0.5822 0.7455
Th1 0.5000 0.5000 0.5000



Entry 3:
A plane-wave DFT calculation with PBE was carried out for YBeSi2Os2 after structural relaxation.

Results
Its total magnetization is 0.00 Bohr magnetons per cell. The space-group type is No. 123. For the uncorrected formation energy, the calculation gives -438 meV per atom.

Lattice parameters (Å, degrees): 4.2365 4.2365 5.1992 90.00 90.00 90.00
Fractional positions:
Y1 0.0000 0.0000 0.0000
Be1 0.0000 0.0000 0.5000
Si1 0.5000 0.5000 0.2327
Si2 0.5000 0.5000 0.7673
Os1 0.0000 0.5000 0.5000
Os2 0.5000 0.0000 0.5000



Entry 4:
A plane-wave DFT calculation with PBE was carried out for Y4CuHg2 after structural relaxation.

Results
Its total magnetization is 0.00 Bohr magnetons per cell. The space-group type is No. 166. The value obtained for the formation energy is -1.799 eV/f.u.

Lattice parameters (Å, degrees): 8.8778 8.8778 8.8778 33.58 33.58 33.58
Fractional positions:
Y1 0.1227 0.1227 0.1227
Y2 0.3728 0.3728 0.3728
Y3 0.6272 0.6272 0.6272
Y4 0.8773 0.8773 0.8773
Cu1 0.0000 0.0000 0.0000
Hg1 0.2470 0.2470 0.2470
Hg2 0.7530 0.7530 0.7530



> Which value of total magnetization does entry 1 give?

12.18 Bohr magnetons per cell



> What is the total magnetization in the first record?

12.18 Bohr magnetons per cell



> Look up the total magnetization of the first one.

12.18 Bohr magnetons per cell